DFT (GGA-PBE) results for a geometry-optimized Tb5Pm12Al2 structure.

a = 9.819 Å, b = 9.819 Å, c = 8.982 Å
α = 106.72°, β = 106.72°, γ = 48.45°
Positions (direct):
Tb (0.000, 0.000, 0.000)
Tb (0.249, 0.249, 0.719)
Tb (0.315, 0.315, 0.331)
Tb (0.685, 0.685, 0.669)
Tb (0.751, 0.751, 0.281)
Pm (0.050, 0.050, 0.669)
Pm (0.063, 0.663, 0.633)
Pm (0.081, 0.613, 0.030)
Pm (0.337, 0.937, 0.367)
Pm (0.387, 0.919, 0.970)
Pm (0.480, 0.480, 0.808)
Pm (0.520, 0.520, 0.192)
Pm (0.613, 0.081, 0.030)
Pm (0.663, 0.063, 0.633)
Pm (0.919, 0.387, 0.970)
Pm (0.937, 0.337, 0.367)
Pm (0.950, 0.950, 0.331)
Al (0.339, 0.661, 0.500)
Al (0.661, 0.339, 0.500)

---

DFT (GGA-PBE) results for a geometry-optimized Tb5Pm2Al4 structure.

a = 15.484 Å, b = 15.484 Å, c = 15.484 Å
α = 167.25°, β = 149.75°, γ = 32.94°
Positions (direct):
Tb (0.000, 0.000, 0.000)
Tb (0.007, 0.300, 0.707)
Tb (0.407, 0.700, 0.707)
Tb (0.593, 0.300, 0.293)
Tb (0.993, 0.700, 0.293)
Pm (0.092, 0.592, 0.500)
Pm (0.908, 0.408, 0.500)
Al (0.289, 0.789, 0.500)
Al (0.326, 0.500, 0.826)
Al (0.674, 0.500, 0.174)
Al (0.711, 0.211, 0.500)

---

DFT (GGA-PBE) results for a geometry-optimized Tb6Pm8Al structure.

a = 9.388 Å, b = 9.388 Å, c = 6.437 Å
α = 90.00°, β = 90.00°, γ = 120.00°
Positions (direct):
Tb (0.097, 0.451, 0.325)
Tb (0.355, 0.903, 0.325)
Tb (0.451, 0.355, 0.675)
Tb (0.549, 0.645, 0.325)
Tb (0.645, 0.097, 0.675)
Tb (0.903, 0.549, 0.675)
Pm (0.043, 0.265, 0.810)
Pm (0.221, 0.957, 0.810)
Pm (0.265, 0.221, 0.190)
Pm (0.333, 0.667, 0.839)
Pm (0.667, 0.333, 0.161)
Pm (0.735, 0.779, 0.810)
Pm (0.779, 0.043, 0.190)
Pm (0.957, 0.735, 0.190)
Al (0.000, 0.000, 0.500)

---

DFT (GGA-PBE) results for a geometry-optimized Tb8Pm6Al structure.

a = 9.462 Å, b = 9.462 Å, c = 6.315 Å
α = 90.00°, β = 90.00°, γ = 120.00°
Positions (direct):
Tb (0.041, 0.258, 0.197)
Tb (0.218, 0.959, 0.197)
Tb (0.258, 0.218, 0.803)
Tb (0.333, 0.667, 0.180)
Tb (0.667, 0.333, 0.820)
Tb (0.742, 0.782, 0.197)
Tb (0.782, 0.041, 0.803)
Tb (0.959, 0.742, 0.803)
Pm (0.092, 0.453, 0.688)
Pm (0.362, 0.908, 0.688)
Pm (0.453, 0.362, 0.312)
Pm (0.547, 0.638, 0.688)
Pm (0.638, 0.092, 0.312)
Pm (0.908, 0.547, 0.312)
Al (0.000, 0.000, 0.500)

---

DFT (GGA-PBE) results for a geometry-optimized TbPmTiAl structure.

a = 7.361 Å, b = 7.361 Å, c = 7.361 Å
α = 90.00°, β = 90.00°, γ = 90.00°
Positions (direct):
Tb (0.000, 0.000, 0.000)
Tb (0.000, 0.500, 0.500)
Tb (0.500, 0.000, 0.500)
Tb (0.500, 0.500, 0.000)
Pm (0.000, 0.000, 0.500)
Pm (0.000, 0.500, 0.000)
Pm (0.500, 0.000, 0.000)
Pm (0.500, 0.500, 0.500)
Ti (0.250, 0.250, 0.750)
Ti (0.250, 0.750, 0.250)
Ti (0.750, 0.250, 0.250)
Ti (0.750, 0.750, 0.750)
Al (0.250, 0.250, 0.250)
Al (0.250, 0.750, 0.750)
Al (0.750, 0.250, 0.750)
Al (0.750, 0.750, 0.250)

---

DFT (GGA-PBE) results for a geometry-optimized TbPmAlTl structure.

a = 7.524 Å, b = 7.524 Å, c = 7.524 Å
α = 90.00°, β = 90.00°, γ = 90.00°
Positions (direct):
Tb (0.000, 0.000, 0.000)
Tb (0.000, 0.500, 0.500)
Tb (0.500, 0.000, 0.500)
Tb (0.500, 0.500, 0.000)
Pm (0.000, 0.000, 0.500)
Pm (0.000, 0.500, 0.000)
Pm (0.500, 0.000, 0.000)
Pm (0.500, 0.500, 0.500)
Al (0.250, 0.250, 0.250)
Al (0.250, 0.750, 0.750)
Al (0.750, 0.250, 0.750)
Al (0.750, 0.750, 0.250)
Tl (0.250, 0.250, 0.750)
Tl (0.250, 0.750, 0.250)
Tl (0.750, 0.250, 0.250)
Tl (0.750, 0.750, 0.750)

---

| no. | formation enthalpy at 0 K (meV per atom) |
| --- | --- |
| 1 | 60 |
| 2 | 469 |
| 3 | 91 |
| 4 | 79 |
| 5 | -24 |
| 6 | -347 |